# MgBi3 | Alexandria | PBE-GGA | relaxed
# Space-group type: Imm2
# Total magnetic moment in μB per atom: 0.000
# Calculated volume in Å³ per cell: 121.2
# VASP energy in eV per atom: -3.306
# Crystal system: orthorhombic
# DOS(E_F) in states/eV/f.u.: 2.25
data_MgBi3
_chemical_formula_sum 'Mg1 Bi3'
_symmetry_space_group_name_H-M 'P 1'
_symmetry_Int_Tables_number 1
_cell_length_a 3.3690
_cell_length_b 6.1227
_cell_length_c 6.8351
_cell_angle_alpha 116.61
_cell_angle_beta 104.27
_cell_angle_gamma 90.00
loop_
_symmetry_equiv_pos_as_xyz
'x,y,z'
loop_
_atom_site_label
_atom_site_type_symbol
_atom_site_fract_x
_atom_site_fract_y
_atom_site_fract_z
_atom_site_occupancy
Mg1 Mg 0.0000 0.0320 0.0000 1
Bi1 Bi 0.2934 0.6200 0.5867 1
Bi2 Bi 0.5000 0.4813 0.0000 1
Bi3 Bi 0.7066 0.0333 0.4133 1